# 1
GGA-PBE FeRe2Ir, relaxed; energy relative to the elements = -0.02 eV/atom
1.0
4.657 0.008 0.000
1.483 4.415 0.000
-3.070 -2.211 2.715
Re Fe Ir
2 1 1
Direct
0.000 0.000 0.000
0.250 0.750 0.500
0.500 0.500 0.000
0.750 0.250 0.500


# 2
GGA-PBE Ce4OsAu, relaxed; energy relative to the elements = -0.26 eV/atom
1.0
4.064 0.000 0.000
-2.032 6.396 0.000
0.000 0.000 11.431
Ce Au Os
8 2 2
Direct
0.275 0.550 0.796
0.074 0.148 0.273
0.143 0.287 0.520
0.857 0.713 0.020
0.580 0.161 0.991
0.926 0.852 0.773
0.725 0.450 0.296
0.420 0.839 0.491
0.599 0.198 0.717
0.401 0.802 0.217
0.790 0.580 0.564
0.210 0.420 0.064


# 3
GGA-PBE ZrPa2H, relaxed; calculated total energy = -0.572 Ry per atom
1.0
-2.190 -2.313 0.141
-0.483 -1.894 -2.519
5.120 -6.913 2.197
Pa Zr H
2 1 1
Direct
0.727 0.727 0.820
0.273 0.273 0.180
0.500 0.500 0.500
0.000 0.000 0.000


# 4
GGA-PBE Al2ZnCBr, relaxed; calculated total energy = -0.171 Ry per atom
1.0
-4.631 -1.285 0.389
0.618 -0.646 5.227
-1.219 4.610 0.714
Al Br Zn C
2 1 1 1
Direct
0.000 0.000 0.500
0.500 0.000 0.000
0.000 0.500 0.000
0.000 0.000 0.000
0.500 0.500 0.500


# 5
GGA-PBE NbZnSi3, relaxed; calculated total energy = -0.318 Ry per atom
1.0
4.536 0.000 0.000
0.000 4.536 0.000
0.000 0.000 4.536
Si Zn Nb
3 1 1
Direct
0.000 0.500 0.000
0.500 0.000 0.000
0.000 0.000 0.500
0.000 0.000 0.000
0.500 0.500 0.500


# 6
GGA-PBE RbBa2HgH, relaxed; calculated total energy = -0.137 Ry per atom
1.0
-2.663 -2.423 4.354
-1.782 -4.147 -3.398
4.766 -3.047 1.220
Ba H Hg Rb
2 1 1 1
Direct
0.500 0.000 0.000
0.000 0.500 0.000
0.000 0.000 0.000
0.500 0.500 0.500
0.000 0.000 0.500